Computed, not measured: a geometry-optimized NdSc5Tl3 structure at the PBE-GGA level of DFT.

```
data_NdSc5Tl3
_cell_length_a 8.9173
_cell_length_b 8.9173
_cell_length_c 6.4052
_cell_angle_alpha 90.00
_cell_angle_beta 90.00
_cell_angle_gamma 120.00
_symmetry_space_group_name_H-M 'P 63/m c m'
_symmetry_Int_Tables_number 193
_symmetry_space_group_name_Hall '-P 6c 2'
loop_
_atom_site_label
_atom_site_type_symbol
_atom_site_fract_x
_atom_site_fract_y
_atom_site_fract_z
Nd1 Nd 0.0000 0.0000 0.0000
Sc1 Sc 0.0000 0.3314 0.2500
Sc2 Sc 0.3333 0.6667 0.0000
Tl1 Tl 0.0000 0.3437 0.7500
```

Properties
Its formation energy is -0.253 eV per atom. As for the raw total energy: -5.089 eV/atom. The calculation puts the volume at 24.51 A^3/atom.